[1]
VASP calculation (PBEsol) on KNaFeSi4O10 after structural relaxation.

a b c (Å): 7.007 8.114 9.900
angles (deg): 104.48 101.63 113.94
Element x y z (fractional)
O 0.909 0.373 0.794
Fe 0.251 0.698 0.593
Si 0.742 0.914 0.217
O 0.561 0.806 0.756
O 0.089 0.157 0.707
O 0.848 0.144 0.286
K 0.175 0.806 0.009
O 0.916 0.587 0.424
Si 0.104 0.370 0.726
O 0.726 0.587 0.840
O 0.293 0.146 0.961
O 0.911 0.843 0.293
Si 0.324 0.625 0.272
O 0.608 0.357 0.559
O 0.707 0.854 0.039
Na 0.753 0.719 0.591
O 0.335 0.537 0.864
Si 0.424 0.303 0.133
K 0.825 0.194 0.991
O 0.439 0.194 0.244
O 0.152 0.856 0.714
O 0.084 0.413 0.576
O 0.499 0.203 0.767
O 0.392 0.643 0.441
Si 0.576 0.697 0.867
Si 0.258 0.086 0.783
Fe 0.749 0.302 0.407
O 0.501 0.797 0.233
Na 0.247 0.281 0.409
O 0.091 0.627 0.206
O 0.274 0.413 0.160
O 0.665 0.463 0.136
Si 0.896 0.630 0.274
Si 0.676 0.375 0.728

---

[2]
VASP calculation (PBEsol) on KNb2FeSi after structural relaxation.

a b c (Å): 4.565 4.565 4.930
angles (deg): 90.00 90.00 90.00
Element x y z (fractional)
K 0.000 0.000 0.500
Fe 0.000 0.000 0.000
Nb 0.000 0.500 0.000
Nb 0.500 0.000 0.000
Si 0.500 0.500 0.500

---

[3]
VASP calculation (PBEsol) on KFeO2 after structural relaxation.

a b c (Å): 4.022 4.022 4.022
angles (deg): 60.00 60.00 60.00
Element x y z (fractional)
O 0.250 0.250 0.250
K 0.000 0.000 0.000
O 0.750 0.750 0.750
Fe 0.500 0.500 0.500

---

[4]
VASP calculation (PBEsol) on KFe3O after structural relaxation.

a b c (Å): 4.290 4.290 4.290
angles (deg): 90.00 90.00 90.00
Element x y z (fractional)
K 0.000 0.000 0.000
Fe 0.000 0.500 0.000
Fe 0.500 0.000 0.000
O 0.500 0.500 0.500
Fe 0.000 0.000 0.500

---

[5]
VASP calculation (PBEsol) on K3FeO2 after structural relaxation.

a b c (Å): 6.052 6.052 14.285
angles (deg): 90.00 90.00 90.00
Element x y z (fractional)
K 0.009 0.508 0.875
Fe 0.502 0.502 0.000
O 0.208 0.203 0.754
O 0.203 0.208 0.246
K 0.991 0.492 0.375
O 0.797 0.792 0.746
O 0.292 0.703 0.496
K 0.992 0.509 0.125
K 0.020 0.020 0.000
O 0.708 0.297 0.996
O 0.703 0.292 0.504
K 0.492 0.991 0.625
K 0.491 0.008 0.375
Fe 0.002 0.998 0.750
O 0.792 0.797 0.254
K 0.509 0.992 0.875
K 0.508 0.009 0.125
K 0.520 0.480 0.750
Fe 0.998 0.002 0.250
O 0.297 0.708 0.004
K 0.008 0.491 0.625
K 0.980 0.980 0.500
Fe 0.498 0.498 0.500
K 0.480 0.520 0.250

---

[6]
VASP calculation (PBEsol) on K2FeP2O7 after structural relaxation.

a b c (Å): 5.519 8.072 8.072
angles (deg): 90.00 90.00 90.00
Element x y z (fractional)
O 0.159 0.423 0.296
K 0.490 0.166 0.334
O 0.841 0.296 0.577
P 0.965 0.134 0.634
O 0.137 0.500 0.000
O 0.841 0.077 0.796
O 0.841 0.704 0.423
O 0.762 0.635 0.865
O 0.159 0.577 0.704
K 0.510 0.666 0.166
K 0.510 0.334 0.834
O 0.238 0.865 0.365
O 0.159 0.796 0.923
O 0.159 0.204 0.077
Fe 0.000 0.500 0.500
P 0.035 0.634 0.866
O 0.841 0.923 0.204
K 0.490 0.834 0.666
O 0.238 0.135 0.635
P 0.965 0.866 0.366
P 0.035 0.366 0.134
Fe 0.000 0.000 0.000
O 0.863 0.000 0.500
O 0.762 0.365 0.135

---

[7]
VASP calculation (PBEsol) on K2FeSnP3O12 after structural relaxation.

a b c (Å): 9.970 9.970 9.970
angles (deg): 90.00 90.00 90.00
Element x y z (fractional)
O 0.759 0.581 0.188
O 0.995 0.419 0.843
O 0.243 0.511 0.807
Fe 0.353 0.853 0.647
O 0.657 0.005 0.919
O 0.495 0.081 0.157
O 0.709 0.518 0.949
O 0.312 0.241 0.081
O 0.489 0.307 0.257
O 0.193 0.743 0.989
O 0.688 0.741 0.419
O 0.011 0.693 0.757
O 0.511 0.807 0.243
O 0.081 0.312 0.241
O 0.807 0.243 0.511
O 0.843 0.995 0.419
O 0.791 0.482 0.449
P 0.771 0.624 0.041
K 0.299 0.201 0.799
K 0.437 0.563 0.063
K 0.063 0.437 0.563
P 0.541 0.729 0.376
O 0.419 0.843 0.995
O 0.241 0.081 0.312
P 0.271 0.876 0.959
P 0.459 0.229 0.124
O 0.812 0.259 0.919
P 0.876 0.959 0.271
P 0.959 0.271 0.876
O 0.449 0.791 0.482
P 0.041 0.771 0.624
O 0.989 0.193 0.743
K 0.201 0.799 0.299
O 0.018 0.551 0.291
Fe 0.647 0.353 0.853
O 0.343 0.505 0.581
P 0.376 0.541 0.729
O 0.188 0.759 0.581
K 0.563 0.063 0.437
O 0.581 0.343 0.505
O 0.982 0.051 0.209
O 0.743 0.989 0.193
O 0.419 0.688 0.741
O 0.157 0.495 0.081
O 0.757 0.011 0.693
O 0.259 0.919 0.812
Sn 0.914 0.086 0.586
P 0.729 0.376 0.541
O 0.581 0.188 0.759
Sn 0.586 0.914 0.086
Fe 0.853 0.647 0.353
P 0.229 0.124 0.459
O 0.005 0.919 0.657
O 0.291 0.018 0.551
K 0.701 0.701 0.701
O 0.919 0.812 0.259
O 0.051 0.209 0.982
Sn 0.414 0.414 0.414
O 0.518 0.949 0.709
O 0.919 0.657 0.005
O 0.693 0.757 0.011
P 0.124 0.459 0.229
O 0.209 0.982 0.051
P 0.624 0.041 0.771
O 0.949 0.709 0.518
Sn 0.086 0.586 0.914
O 0.482 0.449 0.791
K 0.937 0.937 0.937
O 0.081 0.157 0.495
O 0.741 0.419 0.688
O 0.257 0.489 0.307
K 0.799 0.299 0.201
O 0.307 0.257 0.489
O 0.505 0.581 0.343
O 0.551 0.291 0.018
Fe 0.147 0.147 0.147

---

[8]
VASP calculation (PBEsol) on KFeS2O8 after structural relaxation.

a b c (Å): 5.057 5.057 7.978
angles (deg): 89.05 89.05 60.39
Element x y z (fractional)
S 0.683 0.683 0.291
O 0.385 0.860 0.378
O 0.356 0.356 0.885
O 0.860 0.385 0.378
K 0.000 0.000 0.000
Fe 0.000 0.000 0.500
O 0.853 0.853 0.306
S 0.317 0.317 0.709
O 0.140 0.615 0.622
O 0.644 0.644 0.115
O 0.615 0.140 0.622
O 0.147 0.147 0.694

---

no.,ΔE_f (raw) (eV/atom)
1,-2.438
2,1.372
3,-0.217
4,2.877
5,-1.018
6,-2.071
7,-2.074
8,-1.502